No. 1
Below is a geometry-optimized Sr4Li structure, with properties calculated at the PBE-GGA level.

a b c (Å): 6.0820 4.2901 13.3849
angles (deg): 80.73 76.87 44.86
Closest atoms and distances in Å follow each position.
Atoms (fractional coordinates):
Sr  0.8071  0.0000  0.3858  12 Sr 4.24-4.29
Sr  0.5787  0.0000  0.8426  4 Li 3.66-3.67
Sr  0.4213  0.0000  0.1574  4 Li 3.66-3.67
Li  0.0000  0.0000  0.0000  8 Sr 3.66-3.67
Sr  0.1929  0.0000  0.6142  12 Sr 4.24-4.29

DFT formation energy (meV/atom): 10
E above lowest polymorph (meV per atom): 0
Calculated volume (Å³ per cell): 240
Crystal system: orthorhombic



No. 2
Below is a geometry-optimized La2PmGa structure, with properties calculated at the PBE-GGA level.

a b c (Å): 5.4817 6.7014 7.3010
angles (deg): 90.00 90.00 114.14
Closest atoms and distances in Å follow each position.
Atoms (fractional coordinates):
La  0.3709  0.7419  0.9691  3 Ga 3.14-3.23, 2 La 3.19-3.20, 2 Pm 3.50
Ga  0.8238  0.6476  0.7500  1 Pm 2.98, 6 La 3.14-3.23
La  0.3709  0.7419  0.5309  3 Ga 3.14-3.23, 2 La 3.19-3.20, 2 Pm 3.50
Pm  0.0677  0.1354  0.7500  1 Ga 2.98
La  0.6291  0.2581  0.4691  3 Ga 3.14-3.23, 2 La 3.19-3.20, 2 Pm 3.50
Ga  0.1762  0.3524  0.2500  1 Pm 2.98, 6 La 3.14-3.23
Pm  0.9323  0.8646  0.2500  1 Ga 2.98
La  0.6291  0.2581  0.0309  3 Ga 3.14-3.23, 2 La 3.19-3.20, 2 Pm 3.50

DFT formation energy (meV/atom): -234
E above lowest polymorph (meV per atom): 32
Calculated volume (Å³ per cell): 245
Crystal system: orthorhombic



No. 3
Below is a geometry-optimized HfAgPd2 structure, with properties calculated at the PBE-GGA level.

a b c (Å): 3.4785 4.4394 4.4394
angles (deg): 90.00 90.00 90.00
Closest atoms and distances in Å follow each position.
Atoms (fractional coordinates):
Pd  0.0000  0.5000  0.0000  4 Hf 2.82, 4 Ag 2.82, 4 Pd 3.14
Pd  0.0000  0.0000  0.5000  4 Hf 2.82, 4 Ag 2.82, 4 Pd 3.14
Ag  0.5000  0.0000  0.0000  8 Pd 2.82, 4 Hf 3.14
Hf  0.5000  0.5000  0.5000  8 Pd 2.82, 4 Ag 3.14

DFT formation energy (meV/atom): -436
E above lowest polymorph (meV per atom): 114
Calculated volume (Å³ per cell): 69
Crystal system: tetragonal



No. 4
Below is a geometry-optimized CaSi2As structure, with properties calculated at the PBE-GGA level.

a b c (Å): 5.2276 5.2276 5.2276
angles (deg): 132.01 132.01 70.21
Closest atoms and distances in Å follow each position.
Atoms (fractional coordinates):
Si  0.2500  0.7500  0.5000  4 Ca 3.01, 4 As 3.02, 4 Si 3.02
Ca  0.7500  0.2500  0.5000  8 Si 3.01-3.02, 4 As 3.02
As  0.5000  0.5000  0.0000  8 Si 3.01-3.02, 4 Ca 3.02
Si  0.0000  0.0000  0.0000  4 As 3.01, 4 Ca 3.02, 4 Si 3.02

Calculated volume (Å³ per cell): 77
Crystal system: tetragonal
E_form (uncorrected) (eV/atom): 0.0147



No. 5
Below is a geometry-optimized Sn2Hg2Te structure, with properties calculated at the PBE-GGA level.

a b c (Å): 8.1700 8.1700 4.1782
angles (deg): 90.00 90.00 90.00
Closest atoms and distances in Å follow each position.
Atoms (fractional coordinates):
Hg  0.8705  0.6295  0.0000  1 Hg 2.99, 6 Sn 3.06-3.28, 2 Te 3.21
Te  0.5000  0.5000  0.0000  4 Hg 3.21
Hg  0.1295  0.3705  0.0000  1 Hg 2.99, 6 Sn 3.06-3.28, 2 Te 3.21
Sn  0.6769  0.8231  0.5000  6 Hg 3.06-3.28
Sn  0.8231  0.3231  0.5000  6 Hg 3.06-3.28
Sn  0.1769  0.6769  0.5000  6 Hg 3.06-3.28
Hg  0.3705  0.8705  0.0000  1 Hg 2.99, 6 Sn 3.06-3.28, 2 Te 3.21
Hg  0.6295  0.1295  0.0000  1 Hg 2.99, 6 Sn 3.06-3.28, 2 Te 3.21
Te  0.0000  0.0000  0.0000  4 Hg 3.21
Sn  0.3231  0.1769  0.5000  6 Hg 3.06-3.28

E above lowest polymorph (meV per atom): 76
Calculated volume (Å³ per cell): 279
Crystal system: tetragonal
E_form (uncorrected) (eV/atom): 0.1150



No. 6
Below is a geometry-optimized AgRh2ICl structure, with properties calculated at the PBE-GGA level.

a b c (Å): 4.8597 5.5629 4.8597
angles (deg): 90.00 90.00 90.00
Closest atoms and distances in Å follow each position.
Atoms (fractional coordinates):
Rh  0.0000  0.0000  0.5000  2 I 2.43
Ag  0.5000  0.5000  0.5000  4 Cl 3.44, 8 Rh 3.69
Cl  0.0000  0.5000  0.0000  2 I 2.78
I  0.0000  0.0000  0.0000  4 Rh 2.43
Rh  0.5000  0.0000  0.0000  2 I 2.43

Calculated volume (Å³ per cell): 131
Crystal system: tetragonal
E_form (uncorrected) (eV/atom): 0.9983



| no. | total magnetization (μB/atom) |
| --- | --- |
| 1 | 0.00 |
| 2 | 0.00 |
| 3 | 0.00 |
| 4 | 0.00 |
| 5 | 0.00 |
| 6 | 0.00 |